(1)
The following is a PBE calculation of a relaxed Ba2YCu crystal, from Alexandria.

Cell and atoms, written as POSCAR:
```
Ba2YCu
1.0
0.000 4.241 4.241
4.241 0.000 4.241
4.241 4.241 0.000
Cu Y Ba
1 1 2
Cartesian
0.000 0.000 0.000 Cu
4.241 4.241 4.241 Y
6.361 6.361 6.361 Ba
2.120 2.120 2.120 Ba
```

Output
The value obtained for the polymorph energy (0 for the lowest one) is 426 meV/atom. Its mass density is 4.6 Mg/m³. Its formation energy is 0.483 eV per atom.

---

(2)
The following is a PBE calculation of a relaxed ScVSeN2 crystal, from Alexandria.

Cell and atoms, written as POSCAR:
```
ScVSeN2
1.0
-3.466 -1.978 0.260
1.716 -3.222 -1.633
1.352 -1.733 4.840
N Se V Sc
2 1 1 1
Cartesian
-1.733 -0.989 0.130 N
0.858 -1.611 -0.816 N
0.676 -0.866 2.420 Se
-0.199 -3.466 1.734 V
0.000 0.000 0.000 Sc
```

Output
The value obtained for the polymorph energy (0 for the lowest one) is 1158 meV/atom. Its mass density is 4.0 Mg/m³. As for the formation energy without anion corrections: 786 meV per atom.

---

(3)
The following is a PBE calculation of a relaxed CaCdGaGe crystal, from Alexandria.

Cell and atoms, written as POSCAR:
```
CaCdGaGe
1.0
-2.178 2.908 3.475
-4.892 1.104 -0.353
-3.269 -1.995 3.258
Cd Ge Ca Ga
1 1 1 1
Cartesian
-5.169 1.008 3.190 Cd
-2.585 0.504 1.595 Ge
0.000 0.000 0.000 Ca
-7.754 1.512 4.785 Ga
```

Output
Its mass density is 5.4 Mg/m³. Its formation energy is -0.199 eV per atom.

---

(4)
The following is a PBE calculation of a relaxed TaRu2Pb crystal, from Alexandria.

Cell and atoms, written as POSCAR:
```
TaRu2Pb
1.0
-1.115 4.229 -5.796
-7.026 0.547 1.751
-3.480 4.771 -0.398
Pb Ru Ta
2 4 2
Cartesian
-4.333 5.694 -4.108 Pb
0.000 0.000 0.000 Pb
-9.433 7.734 -3.913 Ru
-5.964 5.393 -1.740 Ru
-5.448 2.245 0.022 Ru
-2.398 3.723 -3.255 Ru
-7.288 3.853 -0.335 Ta
-4.071 2.388 -2.023 Ta
```

Output
Its mass density is 12.6 Mg/m³. Its formation energy is 0.584 eV per atom.

---

(5)
The following is a PBE calculation of a relaxed Na4SiIr2 crystal, from Alexandria.

Cell and atoms, written as POSCAR:
```
Na4SiIr2
1.0
5.470 0.000 0.000
0.000 5.470 0.000
2.735 2.735 7.057
Na Ir Si
4 2 1
Cartesian
2.735 0.000 0.000 Na
5.470 5.470 2.825 Na
2.735 2.735 4.232 Na
0.000 2.735 0.000 Na
5.470 5.470 5.877 Ir
2.735 2.735 1.179 Ir
0.000 0.000 0.000 Si
```

Output
Its mass density is 4.0 Mg/m³. As for the formation energy without anion corrections: 1069 meV per atom.

---

(6)
The following is a PBE calculation of a relaxed RbTl2WCl8 crystal, from Alexandria.

Cell and atoms, written as POSCAR:
```
RbTl2WCl8
1.0
5.997 -1.264 0.000
-1.382 7.786 -0.005
0.000 0.009 9.380
Cl Tl Rb W
8 2 1 1
Cartesian
2.956 1.465 4.687 Cl
-0.809 6.209 1.669 Cl
2.163 0.834 0.002 Cl
5.424 0.323 7.706 Cl
1.660 5.066 4.688 Cl
-0.806 6.216 7.704 Cl
2.452 5.698 9.374 Cl
5.422 0.315 1.672 Cl
2.311 3.266 6.882 Tl
2.305 3.266 2.494 Tl
0.000 0.004 4.690 Rb
0.000 0.000 0.000 W
```

Output
Its mass density is 3.8 Mg/m³. As for the formation energy without anion corrections: -1078 meV per atom.

---

(7)
The following is a PBE calculation of a relaxed Be2RuCl crystal, from Alexandria.

Cell and atoms, written as POSCAR:
```
Be2RuCl
1.0
2.974 0.000 0.000
0.000 3.130 0.267
0.000 2.507 7.110
Be Cl Ru
2 1 1
Cartesian
0.000 2.902 7.127 Be
1.487 1.830 1.564 Be
0.000 1.706 2.928 Cl
1.487 4.527 6.556 Ru
```

Output
The value obtained for the polymorph energy (0 for the lowest one) is 0 meV/atom. Its mass density is 4.0 Mg/m³. As for the formation energy without anion corrections: -51 meV per atom.

---

(8)
The following is a PBE calculation of a relaxed Sm2ErThS4 crystal, from Alexandria.

Cell and atoms, written as POSCAR:
```
Sm2ErThS4
1.0
3.956 0.000 0.000
0.000 6.950 0.149
0.000 -2.399 6.455
S Sm Th Er
4 2 1 1
Cartesian
1.978 1.082 1.595 S
1.978 3.469 5.009 S
0.000 -0.122 4.888 S
0.000 4.673 1.716 S
1.978 -1.200 3.228 Sm
0.000 2.275 3.302 Sm
1.978 3.475 0.074 Th
0.000 0.000 0.000 Er
```

Output
Its mass density is 7.7 Mg/m³. As for the formation energy without anion corrections: -1947 meV per atom.

---

(9)
The following is a PBE calculation of a relaxed CaPaBe17 crystal, from Alexandria.

Cell and atoms, written as POSCAR:
```
CaPaBe17
1.0
5.815 0.011 0.698
0.620 5.782 0.698
0.012 0.011 5.857
Be Pa Ca
17 1 1
Cartesian
1.303 3.847 4.458 Be
2.888 0.031 0.376 Be
4.274 3.847 1.816 Be
6.260 4.187 2.819 Be
4.381 1.616 6.547 Be
5.844 5.260 6.574 Be
5.123 1.958 2.795 Be
4.820 5.786 2.819 Be
5.989 1.616 5.117 Be
2.066 4.187 6.547 Be
2.484 4.889 2.795 Be
2.235 5.786 5.117 Be
0.035 0.031 2.912 Be
3.963 0.892 4.458 Be
0.624 0.562 0.702 Be
2.175 1.958 5.415 Be
0.334 2.869 0.376 Be
2.204 1.983 2.479 Pa
4.249 3.825 4.780 Ca
```

Output
Its mass density is 3.6 Mg/m³. Its formation energy is -0.025 eV per atom.

---

(10)
The following is a PBE calculation of a relaxed Sc2MnCo crystal, from Alexandria.

Cell and atoms, written as POSCAR:
```
Sc2MnCo
1.0
-1.750 -3.327 3.465
0.399 -4.951 1.209
2.835 -1.066 3.468
Sc Mn Co
2 1 1
Cartesian
0.905 -4.392 4.024 Sc
2.672 -1.346 3.515 Sc
0.371 -2.336 2.035 Mn
1.113 -7.007 6.106 Co
```

Output
Its mass density is 5.0 Mg/m³. Its formation energy is 0.029 eV per atom.

---

(11)
The following is a PBE calculation of a relaxed Nd3DyTm2 crystal, from Alexandria.

Cell and atoms, written as POSCAR:
```
Nd3DyTm2
1.0
-0.274 -3.621 6.211
6.207 -0.181 0.169
0.285 9.418 1.336
Nd Dy Tm
6 2 4
Cartesian
0.599 2.980 0.720 Nd
3.634 1.982 2.360 Nd
2.583 3.634 5.355 Nd
1.380 -2.308 3.922 Nd
4.552 -1.495 2.457 Nd
5.618 2.636 6.996 Nd
1.517 -0.499 0.821 Dy
4.415 -3.303 5.558 Dy
5.757 4.450 3.887 Tm
3.495 0.173 5.461 Tm
2.722 5.443 2.255 Tm
0.460 1.166 3.829 Tm
```

Output
The value obtained for the polymorph energy (0 for the lowest one) is 0 meV/atom. Its mass density is 7.9 Mg/m³. Its formation energy is 0.023 eV per atom.

---

(12)
The following is a PBE calculation of a relaxed YTl2As crystal, from Alexandria.

Cell and atoms, written as POSCAR:
```
YTl2As
1.0
-5.954 -6.012 1.169
5.969 -6.061 -0.770
0.490 -5.938 3.166
Tl Y As
4 2 2
Cartesian
-2.684 -5.829 1.392 Tl
0.211 -14.846 2.745 Tl
2.940 -6.195 0.489 Tl
0.542 -9.153 2.502 Tl
0.000 0.000 0.000 Y
-2.728 -8.993 2.267 Y
3.233 -9.018 1.297 As
0.007 -6.037 0.199 As
```

Output
The value obtained for the polymorph energy (0 for the lowest one) is 281 meV/atom. Its mass density is 8.7 Mg/m³. Its formation energy is -0.225 eV per atom.